VASP calculation (PBE-GGA) on crystalline BaAuSe2 at its relaxed geometry.

Total magnetization = 0.00 μB/f.u.
Energy relative to the elements, uncorrected = -928 meV per atom
Energy above the lowest structure with this stoichiometry = 75 meV/atom
Symmetry = No. 8

abc: 6.729 6.729 4.977
angles: 105.28 105.28 38.18
Sites, in units of the cell vectors:
Se  0.966  0.966  0.179
Au  0.546  0.546  0.386
Ba  0.250  0.250  0.220
Se  0.738  0.738  0.715

=====

VASP calculation (PBE-GGA) on crystalline BaAu2Se at its relaxed geometry.

Total magnetization = 0.00 μB/f.u.
Energy relative to the elements, uncorrected = -499 meV per atom
Symmetry = No. 123

abc: 4.369 4.372 5.629
angles: 90.00 90.00 90.00
Sites, in units of the cell vectors:
Ba  0.500  0.000  0.500
Au  0.000  0.000  0.000
Au  0.500  0.500  0.000
Se  0.000  0.500  0.500